a:
Computed, not measured: an optimized crystal structure of RbMg2FeRe at the PBE-GGA level of DFT.

Cell lengths 5.0761, 5.5558, 5.0761 Å; angles 90.00, 90.00, 90.00 degrees
Positions (direct):
Mg 0.0000 0.0000 0.5000
Mg 0.5000 0.0000 0.0000
Fe 0.0000 0.0000 0.0000
Rb 0.0000 0.5000 0.0000
Re 0.5000 0.5000 0.5000

Calculated values
density	4.36	g/cm3

b:
Computed, not measured: an optimized crystal structure of RbMg2FeRe at the PBE-GGA level of DFT.

Cell lengths 5.1661, 4.4579, 5.1661 Å; angles 90.00, 90.00, 90.00 degrees
Positions (direct):
Rb 0.5000 0.5000 0.5000
Mg 0.5000 0.0000 0.0000
Mg 0.0000 0.0000 0.5000
Fe 0.0000 0.0000 0.0000
Re 0.0000 0.5000 0.0000

Calculated values
density	5.25	g/cm3

Most stable: b. Least stable: a.

a:
Computed, not measured: an optimized crystal structure of MgFeRh at the PBE-GGA level of DFT.

Cell lengths 4.2573, 4.2573, 2.8215 Å; angles 90.00, 90.00, 120.00 degrees
Positions (direct):
Fe 0.0000 0.0000 0.9388
Rh 0.3333 0.6667 0.7336
Mg 0.6667 0.3333 0.3277

Calculated values
density	6.86	g/cm3

b:
Computed, not measured: an optimized crystal structure of MgFeRh at the PBE-GGA level of DFT.

Cell lengths 5.1455, 5.1459, 3.0894 Å; angles 72.52, 72.54, 34.94 degrees
Positions (direct):
Fe 0.0148 0.0148 0.9852
Rh 0.6535 0.6535 0.3465
Mg 0.3317 0.3317 0.6683

Calculated values
density	6.84	g/cm3

c:
Computed, not measured: an optimized crystal structure of MgFeRh at the PBE-GGA level of DFT.

Cell lengths 4.1095, 6.2888, 6.2888 Å; angles 120.00, 90.00, 90.00 degrees
Positions (direct):
Rh 0.0000 0.0000 0.0000
Rh 0.5000 0.3333 0.6667
Rh 0.5000 0.6667 0.3333
Mg 0.0000 0.4322 0.0000
Mg 0.0000 0.0000 0.4322
Mg 0.0000 0.5678 0.5678
Fe 0.5000 0.2364 0.2364
Fe 0.5000 0.0000 0.7636
Fe 0.5000 0.7636 0.0000

Calculated values
density	6.48	g/cm3

Most stable: b. Least stable: a.

a:
Computed, not measured: an optimized crystal structure of MgFe2Rh2 at the PBE-GGA level of DFT.

Cell lengths 7.2383, 7.2383, 2.7827 Å; angles 90.00, 90.00, 90.00 degrees
Positions (direct):
Mg 0.5000 0.5000 0.0000
Mg 0.0000 0.0000 0.0000
Fe 0.3831 0.8831 0.0000
Fe 0.8831 0.6169 0.0000
Fe 0.6169 0.1169 0.0000
Fe 0.1169 0.3831 0.0000
Rh 0.8221 0.3221 0.5000
Rh 0.6779 0.8221 0.5000
Rh 0.1779 0.6779 0.5000
Rh 0.3221 0.1779 0.5000

Calculated values
density	7.79	g/cm3

b:
Computed, not measured: an optimized crystal structure of MgFe2Rh2 at the PBE-GGA level of DFT.

Cell lengths 3.3397, 3.3397, 6.9663 Å; angles 76.13, 76.13, 90.00 degrees
Positions (direct):
Rh 0.6039 0.6039 0.7922
Rh 0.3961 0.3961 0.2078
Fe 0.2500 0.7500 0.5000
Fe 0.7500 0.2500 0.5000
Mg 0.0000 0.0000 0.0000

Calculated values
density	7.76	g/cm3

Most stable: a. Least stable: b.

a:
Computed, not measured: an optimized crystal structure of Mg2Fe2Ru at the PBE-GGA level of DFT.

Cell lengths 5.9711, 5.9711, 4.2587 Å; angles 90.00, 90.00, 90.00 degrees
Positions (direct):
Fe 0.6233 0.1233 0.0000
Fe 0.3767 0.8767 0.0000
Fe 0.1233 0.3767 0.0000
Fe 0.8767 0.6233 0.0000
Mg 0.6802 0.8198 0.5000
Mg 0.3198 0.1802 0.5000
Mg 0.1802 0.6802 0.5000
Mg 0.8198 0.3198 0.5000
Ru 0.0000 0.0000 0.0000
Ru 0.5000 0.5000 0.0000

Calculated values
density	5.72	g/cm3

b:
Computed, not measured: an optimized crystal structure of Mg2Fe2Ru at the PBE-GGA level of DFT.

Cell lengths 3.6273, 3.6273, 6.6209 Å; angles 74.10, 74.10, 90.00 degrees
Positions (direct):
Mg 0.7500 0.2500 0.5000
Mg 0.2500 0.7500 0.5000
Ru 0.0000 0.0000 0.0000
Fe 0.5859 0.5859 0.8281
Fe 0.4141 0.4141 0.1719

Calculated values
density	5.40	g/cm3

Most stable: a. Least stable: b.

a:
Computed, not measured: an optimized crystal structure of Mg3FeS at the PBE-GGA level of DFT.

Cell lengths 4.7795, 4.7795, 4.7795 Å; angles 90.00, 90.00, 90.00 degrees
Positions (direct):
S 0.0000 0.0000 0.0000
Fe 0.5000 0.5000 0.5000
Mg 0.5000 0.0000 0.0000
Mg 0.0000 0.0000 0.5000
Mg 0.0000 0.5000 0.0000

Calculated values
density	2.45	g/cm3

b:
Computed, not measured: an optimized crystal structure of Mg3FeS at the PBE-GGA level of DFT.

Cell lengths 4.7985, 4.7985, 4.7985 Å; angles 90.00, 90.00, 90.00 degrees
Positions (direct):
Fe 0.0000 0.0000 0.0000
Mg 0.0000 0.0000 0.5000
Mg 0.5000 0.0000 0.0000
Mg 0.0000 0.5000 0.0000
S 0.5000 0.5000 0.5000

Calculated values
density	2.42	g/cm3

Most stable: a. Least stable: b.

a:
Computed, not measured: an optimized crystal structure of MgFe3S at the PBE-GGA level of DFT.

Cell lengths 4.5166, 4.5166, 4.5166 Å; angles 90.00, 90.00, 90.00 degrees
Positions (direct):
Fe 0.0000 0.0000 0.5000
Fe 0.5000 0.0000 0.0000
Fe 0.0000 0.5000 0.0000
S 0.5000 0.5000 0.5000
Mg 0.0000 0.0000 0.0000

Calculated values
density	4.04	g/cm3

b:
Computed, not measured: an optimized crystal structure of MgFe3S at the PBE-GGA level of DFT.

Cell lengths 4.1731, 4.1731, 4.1731 Å; angles 90.00, 90.00, 90.00 degrees
Positions (direct):
S 0.0000 0.0000 0.0000
Fe 0.0000 0.5000 0.0000
Fe 0.5000 0.0000 0.0000
Fe 0.0000 0.0000 0.5000
Mg 0.5000 0.5000 0.5000

Calculated values
density	5.12	g/cm3

Most stable: b. Least stable: a.